# VMoO2

Crystalline VMoO2 at its relaxed geometry (PBE with a Hubbard U, Alexandria).

Geometry as CIF:
```
data_VMoO2
_space_group_name_H-M_alt 'I -4 2 d'
_space_group_IT_number 122
_space_group_name_Hall 'I -4 2bw'
_cell_length_a 4.775
_cell_length_b 4.775
_cell_length_c 9.478
_cell_angle_alpha 90.00
_cell_angle_beta 90.00
_cell_angle_gamma 90.00
loop_
_atom_site_label
_atom_site_type_symbol
_atom_site_fract_x
_atom_site_fract_y
_atom_site_fract_z
_atom_site_occupancy
V1 V 0.000 0.000 0.000 1
Mo1 Mo 0.000 0.000 0.500 1
O1 O 0.229 0.250 0.125 1
```

Its crystal system is tetragonal. For the uncorrected energy, the calculation gives -7.0026 eV per atom. The calculation puts the excess energy over the best structure of this formula in the dataset at 324 meV/atom. Its density of states at the Fermi level is 0.47 states/eV/atom.